Material: ZrTc2W
Method: DFT, GGA-PBE
State: relaxed

The structure in POSCAR format:
```
ZrTc2W
1.0
-0.175 1.065 3.020
-4.614 0.596 -0.477
-0.679 -4.124 1.416
Tc W Zr
2 1 1
Direct
0.000 0.000 0.000
0.500 0.500 0.000
0.500 0.000 0.500
0.000 0.500 0.500
```

Summary:
Total magnetic moment   0.0 μB/f.u.
SG   No. 47
Offset from the most stable computed form   262 meV per atom

***

Material: Zr2TcW
Method: DFT, GGA-PBE
State: relaxed

The structure in POSCAR format:
```
Zr2TcW
1.0
-2.183 -1.474 -2.004
-1.947 -0.648 2.597
-3.137 5.857 -0.891
Zr Tc W
2 1 1
Direct
0.000 0.000 0.493
0.000 0.000 0.007
0.500 0.500 0.250
0.500 0.500 0.750
```

Summary:
Total DFT energy (no corrections)   -0.374 hartree per atom
Total magnetic moment   0.0 μB/f.u.
SG   No. 123

***

Material: ZrTc2W
Method: DFT, GGA-PBE
State: relaxed

The structure in POSCAR format:
```
ZrTc2W
1.0
-4.455 -0.101 -0.867
0.507 -1.336 -2.448
-0.182 -5.015 1.521
Tc W Zr
2 1 1
Direct
0.500 0.263 0.262
0.000 0.993 0.994
0.000 0.489 0.483
0.500 0.756 0.760
```

Summary:
Total magnetic moment   0.0 μB/f.u.
SG   No. 6
Offset from the most stable computed form   254 meV per atom

***

Material: ZrTc2W
Method: DFT, GGA-PBE
State: relaxed

The structure in POSCAR format:
```
ZrTc2W
1.0
5.248 0.001 0.004
4.273 3.047 0.004
2.111 0.676 4.161
Tc W Zr
2 1 1
Direct
0.491 0.491 0.509
0.009 0.009 0.991
0.750 0.750 0.750
0.250 0.250 0.250
```

Summary:
Total magnetic moment   0.0 μB/f.u.
SG   No. 71
Offset from the most stable computed form   247 meV per atom

***

Material: ZrTc2W
Method: DFT, GGA-PBE
State: relaxed

The structure in POSCAR format:
```
ZrTc2W
1.0
3.735 -1.852 -1.772
2.392 -3.008 2.397
0.009 -4.366 -1.208
Zr Tc W
1 2 1
Direct
0.000 0.000 0.000
0.750 0.750 0.750
0.250 0.250 0.250
0.500 0.500 0.500
```

Summary:
Total magnetic moment   0.0 μB/f.u.
SG   No. 225
Offset from the most stable computed form   0 meV per atom

***

Material: Zr2TcW
Method: DFT, GGA-PBE
State: relaxed

The structure in POSCAR format:
```
Zr2TcW
1.0
-4.725 1.553 2.176
-3.381 -0.676 4.193
0.230 3.321 3.517
W Zr Tc
1 2 1
Direct
0.250 0.250 0.250
0.490 0.490 0.510
0.010 0.010 0.990
0.750 0.750 0.750
```

Summary:
Total DFT energy (no corrections)   -0.370 hartree per atom
Total magnetic moment   0.0 μB/f.u.
SG   No. 71

***

Material: Zr2TcW
Method: DFT, GGA-PBE
State: relaxed

The structure in POSCAR format:
```
Zr2TcW
1.0
4.675 0.000 0.000
2.337 4.048 0.000
2.337 1.349 3.817
Tc W Zr
1 1 2
Direct
0.500 0.500 0.500
0.750 0.750 0.750
0.250 0.250 0.250
0.000 0.000 0.000
```

Summary:
Total DFT energy (no corrections)   -0.371 hartree per atom
Total magnetic moment   0.0 μB/f.u.
SG   No. 216

***

Material: Zr4TcW
Method: DFT, GGA-PBE
State: relaxed

The structure in POSCAR format:
```
Zr4TcW
1.0
4.828 -2.707 0.475
0.553 -5.092 -2.152
3.193 -0.792 -4.477
Tc W Zr
1 1 4
Direct
0.750 0.750 0.750
0.000 0.000 0.000
0.375 0.375 0.875
0.375 0.875 0.375
0.875 0.375 0.375
0.375 0.375 0.375
```

Summary:
Total DFT energy (no corrections)   -0.325 hartree per atom
Total magnetic moment   0.0 μB/f.u.
SG   No. 216

***

Material: Zr2TcW
Method: DFT, GGA-PBE
State: relaxed

The structure in POSCAR format:
```
Zr2TcW
1.0
3.181 0.000 0.000
0.000 3.181 0.000
0.000 0.000 7.439
Zr W Tc
2 1 1
Direct
0.000 0.000 0.980
0.500 0.500 0.278
0.500 0.500 0.717
0.000 0.000 0.525
```

Summary:
Total DFT energy (no corrections)   -0.374 hartree per atom
Total magnetic moment   0.0 μB/f.u.
SG   No. 99

***

Material: Zr2TcW
Method: DFT, GGA-PBE
State: relaxed

The structure in POSCAR format:
```
Zr2TcW
1.0
5.612 0.002 0.002
2.713 4.913 -0.002
-3.674 -3.286 2.684
W Zr Tc
1 2 1
Direct
0.267 0.767 0.500
0.738 0.238 0.500
0.007 0.007 0.000
0.488 0.488 0.000
```

Summary:
Total DFT energy (no corrections)   -0.376 hartree per atom
Total magnetic moment   0.0 μB/f.u.
SG   No. 44

***

Material: Zr2TcW
Method: DFT, GGA-PBE
State: relaxed

The structure in POSCAR format:
```
Zr2TcW
1.0
3.098 0.000 0.000
0.000 4.397 0.000
0.000 0.000 5.519
Zr W Tc
2 1 1
Direct
0.500 0.500 0.263
0.000 0.000 0.982
0.500 0.500 0.740
0.000 0.000 0.514
```

Summary:
Total DFT energy (no corrections)   -0.362 hartree per atom
Total magnetic moment   0.0 μB/f.u.
SG   No. 25

***

Material: ZrTc2W
Method: DFT, GGA-PBE
State: relaxed

The structure in POSCAR format:
```
ZrTc2W
1.0
7.192 0.000 0.000
0.000 7.192 0.000
3.596 3.596 2.798
Tc Zr W
4 2 2
Direct
0.097 0.625 0.250
0.875 0.903 0.750
0.375 0.347 0.750
0.653 0.125 0.250
0.250 0.750 0.500
0.500 0.500 0.000
0.000 0.000 0.000
0.750 0.250 0.500
```

Summary:
Total magnetic moment   0.0 μB/f.u.
SG   No. 122
Offset from the most stable computed form   807 meV per atom

***

Material: ZrTc2W
Method: DFT, GGA-PBE
State: relaxed

The structure in POSCAR format:
```
ZrTc2W
1.0
-4.059 -3.105 1.102
4.943 -1.799 1.074
-0.093 0.190 2.827
Tc W Zr
2 1 1
Direct
0.000 0.500 0.500
0.000 0.000 0.000
0.500 0.500 0.000
0.500 0.000 0.500
```

Summary:
Total magnetic moment   0.0 μB/f.u.
SG   No. 12
Offset from the most stable computed form   252 meV per atom

***

Material: Zr2Tc3W
Method: DFT, GGA-PBE
State: relaxed

The structure in POSCAR format:
```
Zr2Tc3W
1.0
3.225 0.000 0.000
0.000 4.366 -1.445
0.000 -0.026 7.237
Zr Tc W
2 3 1
Direct
0.000 0.335 0.670
0.000 0.665 0.330
0.500 0.158 0.316
0.500 0.500 0.000
0.500 0.842 0.684
0.000 0.000 0.000
```

Summary:
Total DFT energy (no corrections)   -0.385 hartree per atom
Total magnetic moment   0.0 μB/f.u.
SG   No. 65

***

Material: Zr2TcW
Method: DFT, GGA-PBE
State: relaxed

The structure in POSCAR format:
```
Zr2TcW
1.0
-2.166 -6.559 -5.804
-0.807 -8.256 -3.549
-3.829 -7.469 -3.311
W Zr Tc
1 2 1
Direct
0.750 0.750 0.750
0.996 0.996 0.996
0.504 0.504 0.504
0.250 0.250 0.250
```

Summary:
Total DFT energy (no corrections)   -0.363 hartree per atom
Total magnetic moment   0.0 μB/f.u.
SG   No. 166

***

no.,Fermi-level density of states (states/eV/cell),volume (Å³/cell)
1,3.41,66
2,4.66,73
3,3.03,66
4,3.01,66
5,0.98,66
6,3.65,73
7,3.40,72
8,9.65,121
9,3.55,75
10,3.44,74
11,3.83,75
12,9.23,145
13,3.08,66
14,3.89,102
15,3.05,75